Entry 1:
A plane-wave DFT calculation with PBE was carried out for a geometry-optimized Na4SI2 structure.

Cell: 9.024 9.024 9.024 Å, 146.07 146.07 48.74°
Fractional positions:
Na: 0.000 0.500 0.500
Na: 0.163 0.163 0.000
Na: 0.500 0.000 0.500
Na: 0.837 0.837 0.000
S: 0.000 0.000 0.000
I: 0.351 0.351 0.000
I: 0.649 0.649 0.000

Spin magnetization   0.0 μB/f.u.
Distance to the lowest polymorph of the same formula   0 meV/atom
Formation energy without anion corrections   -1135 meV/atom

Entry 2:
A plane-wave DFT calculation with PBE was carried out for a geometry-optimized NaS8I2 structure.

Cell: 5.464 7.772 9.561 Å, 101.96 91.46 91.61°
Fractional positions:
Na: 0.000 0.000 0.000
S: 0.116 0.229 0.806
S: 0.332 0.522 0.015
S: 0.447 0.141 0.758
S: 0.491 0.080 0.165
S: 0.509 0.920 0.835
S: 0.553 0.859 0.242
S: 0.668 0.478 0.985
S: 0.884 0.771 0.194
I: 0.430 0.651 0.616
I: 0.570 0.349 0.384

Spin magnetization   1.0 μB/f.u.
Formation energy without anion corrections   -1 meV/atom